# 1
Compound: Ac3Pr4Nd
Source: Alexandria
Functional: PBE
Structure: relaxed

Summary:
DFT formation energy   0.044 eV per atom

Cell lengths 6.629, 7.705, 12.379 Å; angles 90.00, 90.00, 90.00 degrees
Fractional positions:
Nd (0.642, 0.630, 0.500)
Pr (0.477, 0.879, 0.747)
Pr (0.654, 0.110, 0.500)
Pr (0.156, 0.880, 0.500)
Nd (0.142, 0.370, 0.000)
Pr (0.154, 0.890, 0.000)
Pr (0.477, 0.879, 0.253)
Ac (0.486, 0.366, 0.748)
Ac (0.136, 0.370, 0.500)
Ac (0.636, 0.630, 0.000)
Ac (0.986, 0.634, 0.752)
Pr (0.977, 0.121, 0.753)
Ac (0.986, 0.634, 0.248)
Ac (0.486, 0.366, 0.252)
Pr (0.977, 0.121, 0.247)
Pr (0.656, 0.120, 0.000)

---

# 2
Compound: HfCr3Se
Source: Alexandria
Functional: PBE
Structure: relaxed

Summary:
Raw formation energy   314 kJ/mol of formula units

Cell lengths 4.390, 4.390, 4.390 Å; angles 90.00, 90.00, 90.00 degrees
Fractional positions:
Hf (0.500, 0.500, 0.500)
Se (0.000, 0.000, 0.000)
Cr (0.000, 0.500, 0.000)
Cr (0.500, 0.000, 0.000)
Cr (0.000, 0.000, 0.500)

---

no.,distance to the lowest polymorph of the same formula (meV/atom)
1,21.6
2,0.0